DFT (GGA-PBE) results for a geometry-optimized CdAg2Hg structure.

Lattice parameters (Å, degrees): 6.2454 6.2454 6.2454 102.18 102.18 125.32
Closest atoms and distances in Å follow each position.
Atoms (fractional coordinates):
Cd: 0.0000 0.0000 0.0000  4 Ag 2.86, 2 Hg 2.87
Cd: 0.7500 0.2500 0.5000  4 Ag 2.86, 2 Hg 2.87
Ag: 0.1234 0.6250 0.9984  2 Cd 2.86, 2 Ag 2.87, 2 Hg 2.87
Ag: 0.3750 0.3734 0.4984  2 Cd 2.86, 2 Ag 2.87, 2 Hg 2.87
Ag: 0.6266 0.1250 0.0016  2 Cd 2.86, 2 Ag 2.87, 2 Hg 2.87
Ag: 0.8750 0.8766 0.5016  2 Cd 2.86, 2 Ag 2.87, 2 Hg 2.87
Hg: 0.2500 0.7500 0.5000  2 Cd 2.87, 4 Ag 2.87
Hg: 0.5000 0.5000 0.0000  2 Cd 2.87, 4 Ag 2.87

Summary:
- Energy above the lowest structure with this stoichiometry: 0.65 eV per formula unit
- Energy relative to the elements: 0.17 eV per atom
- Total moment: 0.0 μB/cell

DFT (GGA-PBE) results for a geometry-optimized K3Ho2MnSe6 structure.

Lattice parameters (Å, degrees): 7.1279 7.1279 8.0116 98.34 98.34 120.55
Closest atoms and distances in Å follow each position.
Atoms (fractional coordinates):
K: 0.0000 0.0000 0.0000  6 Se 3.26-3.46
K: 0.3308 0.6692 0.0000  6 Se 3.26-3.37
K: 0.6692 0.3308 0.0000  6 Se 3.26-3.37
Ho: 0.1678 0.8322 0.5000  6 Se 2.85-2.89
Ho: 0.8322 0.1678 0.5000  6 Se 2.85-2.89
Mn: 0.5000 0.5000 0.5000  6 Se 2.62-2.74
Se: 0.1147 0.4322 0.2999  1 Mn 2.74, 2 Ho 2.85-2.87
Se: 0.2569 0.2569 0.6923  1 Mn 2.62, 2 Ho 2.89
Se: 0.4322 0.1147 0.2999  1 Mn 2.74, 2 Ho 2.85-2.87
Se: 0.5678 0.8853 0.7001  1 Mn 2.74, 2 Ho 2.85-2.87
Se: 0.7431 0.7431 0.3077  1 Mn 2.62, 2 Ho 2.89
Se: 0.8853 0.5678 0.7001  1 Mn 2.74, 2 Ho 2.85-2.87

Summary:
- Uncorrected formation energy: -16.50 eV/f.u.
- Total moment: 4.0 μB/cell

DFT (GGA-PBE) results for a geometry-optimized Os2AuSe structure.

Lattice parameters (Å, degrees): 9.2878 9.2878 9.2878 154.37 154.37 36.57
Closest atoms and distances in Å follow each position.
Atoms (fractional coordinates):
Os: 0.0390 0.6250 0.9140  2 Os 2.46, 2 Se 2.53
Os: 0.3750 0.2890 0.4140  2 Os 2.46, 2 Se 2.53
Os: 0.7110 0.1250 0.0860  2 Os 2.46, 2 Se 2.53
Os: 0.8750 0.9610 0.5860  2 Os 2.46, 2 Se 2.53
Au: 0.2500 0.7500 0.5000  4 Os 2.80, 4 Se 2.91
Au: 0.5000 0.5000 0.0000  4 Os 2.80, 4 Se 2.91
Se: 0.0000 0.0000 0.0000  4 Os 2.53
Se: 0.7500 0.2500 0.5000  4 Os 2.53

Summary:
- Uncorrected formation energy: 4.18 eV/f.u.
- Total moment: 0.0 μB/cell

DFT (GGA-PBE) results for a geometry-optimized ScMoIr2 structure.

Lattice parameters (Å, degrees): 4.1376 4.1376 3.7207 90.00 90.00 90.00
Closest atoms and distances in Å follow each position.
Atoms (fractional coordinates):
Sc: 0.0000 0.0000 0.0000  8 Ir 2.78, 4 Mo 2.93
Mo: 0.5000 0.5000 0.0000  8 Ir 2.78, 4 Sc 2.93
Ir: 0.0000 0.5000 0.5000  4 Mo 2.78, 4 Sc 2.78, 4 Ir 2.93
Ir: 0.5000 0.0000 0.5000  4 Mo 2.78, 4 Sc 2.78, 4 Ir 2.93

Summary:
- Energy above the lowest structure with this stoichiometry: 0.60 eV per formula unit
- Energy relative to the elements: -0.37 eV per atom
- Total moment: 0.0 μB/cell

DFT (GGA-PBE) results for a geometry-optimized ZrScTe2 structure.

Lattice parameters (Å, degrees): 5.0748 5.0748 5.0748 60.00 60.00 60.00
Closest atoms and distances in Å follow each position.
Atoms (fractional coordinates):
Zr: 0.0000 0.0000 0.0000  8 Te 3.11
Sc: 0.5000 0.5000 0.5000  8 Te 3.11
Te: 0.2500 0.2500 0.2500  4 Sc 3.11, 4 Zr 3.11
Te: 0.7500 0.7500 0.7500  4 Sc 3.11, 4 Zr 3.11

Summary:
- Uncorrected formation energy: -3.32 eV/f.u.
- Energy above the lowest structure with this stoichiometry: 0.70 eV per formula unit
- Total moment: 0.0 μB/cell

DFT (GGA-PBE) results for a geometry-optimized Mn2NiRh structure.

Lattice parameters (Å, degrees): 8.4414 8.4414 8.4414 17.85 17.85 17.85
Closest atoms and distances in Å follow each position.
Atoms (fractional coordinates):
Mn: 0.0000 0.0000 0.0000  9 Mn 2.51-2.62, 3 Ni 2.52
Mn: 0.2531 0.2531 0.2531  9 Mn 2.51-2.62, 3 Rh 2.58
Ni: 0.7478 0.7478 0.7478  3 Mn 2.52, 6 Ni 2.62, 3 Rh 2.66
Rh: 0.5023 0.5023 0.5023  3 Mn 2.58, 6 Rh 2.62, 3 Ni 2.66

Summary:
- Energy relative to the elements: 0.07 eV per atom
- Total moment: 1.7 μB/cell

Number 1: VASP energy -1.56 eV/atom. Number 2: VASP energy -4.92 eV/atom. Number 3: VASP energy -6.26 eV/atom. Number 4: VASP energy -9.09 eV/atom. Number 5: VASP energy -6.12 eV/atom. Number 6: VASP energy -7.79 eV/atom.